# 1
Here is a relaxed structure of Na2Ti3Se6 from Alexandria. Energies are from PBE-GGA.

Output
- DOS at the Fermi energy (states/eV/atom) = 0.580
- size of the total moment (μB per formula unit) = 1.42
- uncorrected formation energy (kcal/mol of atoms) = -27.31
- E_tot (eV per atom) = -5.48

abc: 6.317 6.317 7.550
angles: 98.02 98.02 120.00
Positions (direct):
1 Na 0.167 0.833 0.000
2 Na 0.833 0.167 0.000
3 Ti 0.000 0.000 0.500
4 Ti 0.333 0.667 0.500
5 Ti 0.667 0.333 0.500
6 Se 0.072 0.404 0.711
7 Se 0.265 0.265 0.290
8 Se 0.404 0.072 0.711
9 Se 0.596 0.928 0.289
10 Se 0.735 0.735 0.710
11 Se 0.928 0.596 0.289

# 2
Here is a relaxed structure of SrScIn from Alexandria. Energies are from PBE-GGA.

Output
- DOS at the Fermi energy (states/eV/atom) = 1.087
- size of the total moment (μB per formula unit) = 0.00
- E_tot (eV per atom) = -3.81
- E_form (meV per atom) = -228

abc: 5.378 3.879 9.054
angles: 90.00 107.05 90.00
Positions (direct):
1 Sr 0.180 0.000 0.357
2 Sr 0.820 0.000 0.643
3 Sc 0.000 0.500 0.000
4 Sc 0.500 0.000 0.000
5 In 0.366 0.500 0.736
6 In 0.634 0.500 0.264

# 3
Here is a relaxed structure of Pu4TlPd12 from Alexandria. Energies are from PBE-GGA.

Output
- DOS at the Fermi energy (states/eV/atom) = 3.827
- size of the total moment (μB per formula unit) = 20.69
- E_tot (eV per atom) = -7.64
- E_form (meV per atom) = -467

abc: 7.489 7.489 7.489
angles: 109.47 109.47 109.47
Positions (direct):
1 Pu 0.000 0.000 0.500
2 Pu 0.000 0.500 0.000
3 Pu 0.500 0.000 0.000
4 Pu 0.500 0.500 0.500
5 Tl 0.000 0.000 0.000
6 Pd 0.000 0.307 0.307
7 Pd 0.000 0.693 0.693
8 Pd 0.250 0.500 0.750
9 Pd 0.250 0.750 0.500
10 Pd 0.307 0.000 0.307
11 Pd 0.307 0.307 0.000
12 Pd 0.500 0.250 0.750
13 Pd 0.500 0.750 0.250
14 Pd 0.693 0.000 0.693
15 Pd 0.693 0.693 0.000
16 Pd 0.750 0.250 0.500
17 Pd 0.750 0.500 0.250

# 4
Here is a relaxed structure of TaGaAs2Br from Alexandria. Energies are from PBE-GGA.

Output
- DOS at the Fermi energy (states/eV/atom) = 0.960
- size of the total moment (μB per formula unit) = 1.77
- uncorrected formation energy (kcal/mol of atoms) = 24.32
- E_tot (eV per atom) = -4.12

abc: 4.827 4.827 4.969
angles: 90.00 90.00 90.00
Positions (direct):
1 Ta 0.000 0.000 0.000
2 Ga 0.500 0.500 0.500
3 As 0.000 0.500 0.500
4 As 0.500 0.000 0.500
5 Br 0.500 0.500 0.000

# 5
Here is a relaxed structure of LaCdH8Pt2 from Alexandria. Energies are from PBE-GGA.

Output
- DOS at the Fermi energy (states/eV/atom) = 0.237
- size of the total moment (μB per formula unit) = 0.00
- E_tot (eV per atom) = -3.83

abc: 6.689 6.689 6.689
angles: 43.88 43.88 43.88
Positions (direct):
1 La 0.000 0.000 0.000
2 Cd 0.500 0.500 0.500
3 H 0.096 0.422 0.781
4 H 0.219 0.904 0.578
5 H 0.327 0.327 0.327
6 H 0.422 0.781 0.096
7 H 0.578 0.219 0.904
8 H 0.673 0.673 0.673
9 H 0.781 0.096 0.422
10 H 0.904 0.578 0.219
11 Pt 0.239 0.239 0.239
12 Pt 0.761 0.761 0.761

# 6
Here is a relaxed structure of TlAu from Alexandria. Energies are from PBE-GGA.

Output
- DOS at the Fermi energy (states/eV/atom) = 0.360
- size of the total moment (μB per formula unit) = 0.00
- E_tot (eV per atom) = -2.74
- E_form (meV per atom) = 85

abc: 6.096 6.096 6.096
angles: 139.04 139.04 59.32
Positions (direct):
1 Tl 0.375 0.625 0.750
2 Tl 0.625 0.375 0.250
3 Au 0.125 0.875 0.250
4 Au 0.875 0.125 0.750

# 7
Here is a relaxed structure of KBeBr from Alexandria. Energies are from PBE-GGA.

Output
- size of the total moment (μB per formula unit) = 0.00
- uncorrected formation energy (kcal/mol of atoms) = 1.38
- E_tot (eV per atom) = -2.11

abc: 7.778 7.078 4.258
angles: 82.63 64.49 32.89
Positions (direct):
1 K 0.000 0.000 0.000
2 Be 0.687 0.687 0.313
3 Br 0.301 0.301 0.699

# 8
Here is a relaxed structure of Y2TeAu from Alexandria. Energies are from PBE-GGA.

Output
- DOS at the Fermi energy (states/eV/atom) = 0.764
- size of the total moment (μB per formula unit) = 0.00
- uncorrected formation energy (kcal/mol of atoms) = -24.47
- E_tot (eV per atom) = -5.90

abc: 7.878 7.878 7.878
angles: 30.60 30.60 30.60
Positions (direct):
1 Y 0.244 0.244 0.244
2 Y 0.756 0.756 0.756
3 Te 0.000 0.000 0.000
4 Au 0.500 0.500 0.500

# 9
Here is a relaxed structure of ScTc2Au2 from Alexandria. Energies are from PBE-GGA.

Output
- DOS at the Fermi energy (states/eV/atom) = 1.062
- size of the total moment (μB per formula unit) = 0.50
- E_tot (eV per atom) = -6.47
- E_form (meV per atom) = 257

abc: 7.880 7.880 2.959
angles: 90.00 90.00 90.00
Positions (direct):
1 Sc 0.000 0.000 0.000
2 Sc 0.500 0.500 0.000
3 Tc 0.104 0.396 0.500
4 Tc 0.396 0.896 0.500
5 Tc 0.604 0.104 0.500
6 Tc 0.896 0.604 0.500
7 Au 0.189 0.689 0.000
8 Au 0.311 0.189 0.000
9 Au 0.689 0.811 0.000
10 Au 0.811 0.311 0.000

# 10
Here is a relaxed structure of MgTeMo from Alexandria. Energies are from PBE-GGA.

Output
- DOS at the Fermi energy (states/eV/atom) = 0.554
- size of the total moment (μB per formula unit) = 0.00
- uncorrected formation energy (kcal/mol of atoms) = 3.28
- E_tot (eV per atom) = -5.05

abc: 3.339 3.339 6.851
angles: 90.00 90.00 120.00
Positions (direct):
1 Mg 0.000 0.000 0.000
2 Te 0.333 0.667 0.583
3 Mo 0.667 0.333 0.313

# 11
Here is a relaxed structure of PmPuAs from Alexandria. Energies are from PBE-GGA.

Output
- DOS at the Fermi energy (states/eV/atom) = 2.691
- size of the total moment (μB per formula unit) = 6.03
- E_tot (eV per atom) = -7.64
- E_form (meV per atom) = 268

abc: 8.913 8.913 8.913
angles: 159.25 159.25 29.51
Positions (direct):
1 Pm 0.000 0.000 0.000
2 Pu 0.334 0.334 0.000
3 As 0.168 0.168 0.000

# 12
Here is a relaxed structure of DyTmLuAg from Alexandria. Energies are from PBE-GGA.

Output
- DOS at the Fermi energy (states/eV/atom) = 0.764
- size of the total moment (μB per formula unit) = 0.00
- E_tot (eV per atom) = -4.07
- E_form (meV per atom) = 43

abc: 5.309 5.309 5.309
angles: 60.00 60.00 60.00
Positions (direct):
1 Dy 0.000 0.000 0.000
2 Tm 0.500 0.500 0.500
3 Lu 0.750 0.750 0.750
4 Ag 0.250 0.250 0.250